1.
A plane-wave DFT calculation with PBE was carried out for crystalline LiPmHoPb at its relaxed geometry.

a = 7.5453 Å, b = 7.5453 Å, c = 7.5453 Å
α = 90.00°, β = 90.00°, γ = 90.00°
Space group F-43m (No. 216)
Inequivalent atoms, fractional coordinates:
Li 0.0000 0.0000 0.0000 [4 per cell]
Pm 0.2500 0.2500 0.2500 [4 per cell]
Ho 0.2500 0.2500 0.7500 [4 per cell]
Pb 0.0000 0.0000 0.5000 [4 per cell]

* DFT total energy: -4.022 eV per atom

2.
A plane-wave DFT calculation with PBE was carried out for crystalline VCu4Pd15 at its relaxed geometry.

a = 3.8810 Å, b = 3.8810 Å, c = 19.4757 Å
α = 90.00°, β = 90.00°, γ = 90.00°
Space group P4/mmm (No. 123)
Inequivalent atoms, fractional coordinates:
V 0.0000 0.0000 0.0000 [1 per cell]
Cu 0.0000 0.0000 0.2010 [2 per cell]
Cu 0.0000 0.0000 0.3999 [2 per cell]
Pd 0.0000 0.5000 0.0981 [4 per cell]
Pd 0.0000 0.5000 0.3004 [4 per cell]
Pd 0.0000 0.5000 0.5000 [2 per cell]
Pd 0.5000 0.5000 0.0000 [1 per cell]
Pd 0.5000 0.5000 0.1996 [2 per cell]
Pd 0.5000 0.5000 0.4005 [2 per cell]

* DFT total energy: -5.274 eV per atom

Question: Look up the DFT total energy of the second one.
Answer: -5.274 eV per atom

Question: Which formula does entry 1 have?
Answer: LiPmHoPb

Repeat the first record exactly.
A plane-wave DFT calculation with PBE was carried out for crystalline LiPmHoPb at its relaxed geometry.

a = 7.5453 Å, b = 7.5453 Å, c = 7.5453 Å
α = 90.00°, β = 90.00°, γ = 90.00°
Space group F-43m (No. 216)
Inequivalent atoms, fractional coordinates:
Li 0.0000 0.0000 0.0000 [4 per cell]
Pm 0.2500 0.2500 0.2500 [4 per cell]
Ho 0.2500 0.2500 0.7500 [4 per cell]
Pb 0.0000 0.0000 0.5000 [4 per cell]

* DFT total energy: -4.022 eV per atom

Question: The lowest DFT total energy belongs to which entry?
Answer: VCu4Pd15